Compound: CsGa
Source: Alexandria
Functional: PBE
Structure: optimized geometry

## Properties
- ρ (Mg/m³) = 2.93
- V (Å³/cell) = 115.00

abc: 5.458 5.458 5.458
angles: 60.00 60.00 60.00
Atoms (fractional coordinates):
Cs  0.000  0.000  0.000
Ga  0.500  0.500  0.500


Compound: CsGa2
Source: Alexandria
Functional: PBE
Structure: optimized geometry

## Properties
- ρ (Mg/m³) = 4.69
- V (Å³/cell) = 96.38

abc: 7.333 7.333 7.333
angles: 150.33 150.33 42.45
Atoms (fractional coordinates):
Cs  0.000  0.000  0.000
Ga  0.278  0.278  0.000
Ga  0.722  0.722  0.000


Compound: CsGa
Source: Alexandria
Functional: PBE
Structure: optimized geometry

## Properties
- ρ (Mg/m³) = 2.88
- V (Å³/cell) = 467.55

abc: 10.357 10.357 10.357
angles: 92.81 92.81 154.44
Atoms (fractional coordinates):
Cs  0.000  0.249  0.249
Cs  0.000  0.751  0.751
Cs  0.249  0.000  0.249
Cs  0.751  0.000  0.751
Ga  0.273  0.273  0.546
Ga  0.273  0.727  0.000
Ga  0.727  0.273  0.000
Ga  0.727  0.727  0.454


Compound: CsGa
Source: Alexandria
Functional: PBE
Structure: optimized geometry

## Properties
- ρ (Mg/m³) = 3.99
- V (Å³/cell) = 337.11

abc: 7.232 7.232 6.883
angles: 90.00 90.00 69.45
Atoms (fractional coordinates):
Cs  0.014  0.323  0.250
Cs  0.323  0.014  0.750
Cs  0.677  0.986  0.250
Cs  0.986  0.677  0.750
Ga  0.279  0.721  0.250
Ga  0.500  0.500  0.000
Ga  0.500  0.500  0.500
Ga  0.721  0.279  0.750


Compound: CsGa
Source: Alexandria
Functional: PBE
Structure: optimized geometry

## Properties
- ρ (Mg/m³) = 2.64
- V (Å³/cell) = 764.26

abc: 13.881 13.881 4.580
angles: 90.00 90.00 120.00
Atoms (fractional coordinates):
Cs  0.215  0.430  0.250
Cs  0.215  0.785  0.250
Cs  0.430  0.215  0.750
Cs  0.570  0.785  0.250
Cs  0.785  0.215  0.750
Cs  0.785  0.570  0.750
Ga  0.039  0.519  0.750
Ga  0.481  0.519  0.750
Ga  0.481  0.961  0.750
Ga  0.519  0.039  0.250
Ga  0.519  0.481  0.250
Ga  0.961  0.481  0.250


Compound: CsGa2
Source: Alexandria
Functional: PBE
Structure: optimized geometry

## Properties
- ρ (Mg/m³) = 5.07
- V (Å³/cell) = 178.33

abc: 6.318 6.318 6.318
angles: 60.00 60.00 60.00
Atoms (fractional coordinates):
Cs  0.125  0.125  0.125
Cs  0.875  0.875  0.875
Ga  0.000  0.500  0.500
Ga  0.500  0.000  0.500
Ga  0.500  0.500  0.000
Ga  0.500  0.500  0.500


no.,uncorrected energy (eV per atom),density of states at the Fermi level (states/eV/f.u.),energy relative to the elements (eV/atom)
1,-1.414,1.708,0.526
2,-2.238,1.739,0.064
3,-1.961,1.085,-0.020
4,-1.991,0.426,-0.051
5,-1.953,1.293,-0.013
6,-2.183,3.674,0.120